(1)
The following is a DFT calculation (PBE-GGA) of a geometry-optimized KPRh structure.

Unit cell a=6.402 b=6.402 c=6.402 alpha=90.00 beta=90.00 gamma=90.00
Space group F-43m (No. 216)
One atom of each set of equivalent atoms:
K  0.000  0.000  0.000 (multiplicity 4)
P  0.250  0.250  0.250 (multiplicity 4)
Rh  0.000  0.000  0.500 (multiplicity 4)

Calculated values
* DOS(E_F): 3.61 states/eV/f.u.
* calculated total energy: -4.038 eV/atom
* magnetization: 0.00 μB per formula unit

=====

(2)
The following is a DFT calculation (PBE-GGA) of a geometry-optimized KP2Rh structure.

Unit cell a=6.480 b=6.480 c=6.480 alpha=90.00 beta=90.00 gamma=90.00
Space group Fm-3m (No. 225)
One atom of each set of equivalent atoms:
K  0.000  0.000  0.000 (multiplicity 4)
P  0.250  0.250  0.250 (multiplicity 8)
Rh  0.000  0.000  0.500 (multiplicity 4)

Calculated values
* DOS(E_F): 0.78 states/eV/f.u.
* distance to the lowest polymorph of the same formula: 0.780 eV per atom
* calculated total energy: -4.456 eV/atom
* magnetization: 0.00 μB per formula unit